Entry 1:
Here is a relaxed Ho4Tm3Sc4 crystal from the Alexandria database. Energies are from PBE-GGA.

It has space group Immm (No. 71), with a = 3.431 Å, b = 4.813 Å, c = 37.631 Å, α = 90.00°, β = 90.00° and γ = 90.00°. The inequivalent atoms are Ho at (0.000, 0.000, 0.047), Ho at (0.000, 0.000, 0.316), Tm at (0.000, 0.000, 0.137), Tm at (0.000, 0.000, 0.500), Sc at (0.000, 0.000, 0.229) and Sc at (0.000, 0.000, 0.408).

For the density of states at the Fermi level, the calculation gives 31.92 states/eV per cell. For the final energy, the calculation gives -5.14 eV/atom. The calculation puts the theoretical density at 7.20 g cm⁻³.

=====

Entry 2:
Here is a relaxed HoTm6Sc8 crystal from the Alexandria database. Energies are from PBE-GGA.

It has space group R-3 (No. 148, hexagonal axes), with a = 5.8734 Å, b = 5.8734 Å, c = 40.7269 Å, α = 90.00°, β = 90.00° and γ = 120.00°. The inequivalent atoms are Ho at (0.0000, 0.0000, 0.0000), Tm at (0.0000, 0.3348, 0.9312), Sc at (0.0000, 0.0000, 0.3333) and Sc at (0.9999, 0.3331, 0.1357).

For the density of states at the Fermi level, the calculation gives 79.00 states/eV per cell. For the final energy, the calculation gives -5.43 eV/atom. The calculation puts the theoretical density at 6.30 g cm⁻³.